Record 1
Here is a geometry-optimized Ce2PrGa structure from Alexandria via LeMat-Bulk. Energies are from PBE.

Properties
Symmetry: P4/mmm, No. 123

```
Ce2PrGa
1.0
-0.177 -3.294 -2.023
3.812 -0.486 0.457
-1.263 -3.872 6.415
Ce Ga Pr
2 1 1
Cartesian
-1.028 -3.153 5.224
-0.234 -0.719 1.191
1.817 -1.890 -0.783
1.186 -3.826 2.425
```

Record 2
Here is a geometry-optimized LiBeMo2 structure from Alexandria via LeMat-Bulk. Energies are from PBE.

Properties
Symmetry: Cmm2, No. 35

```
LiBeMo2
1.0
-0.675 2.497 -0.490
-0.865 -1.327 -2.104
-7.371 -1.245 3.814
Mo Be Li
2 1 1
Cartesian
-0.020 -0.003 0.010
-2.807 0.242 -0.243
-3.652 -0.617 1.890
-6.118 -0.318 1.470
```

Record 3
Here is a geometry-optimized Nd8GaIr2 structure from Alexandria via LeMat-Bulk. Energies are from PBE.

Properties
Symmetry: Cm, No. 8

```
Nd8GaIr2
1.0
5.923 0.303 -0.834
-1.716 7.065 -2.961
0.172 -0.065 7.848
Ga Nd Ir
1 8 2
Cartesian
0.423 0.082 -0.020
4.621 5.648 -1.201
3.498 0.644 1.896
3.002 2.519 -0.946
0.626 2.728 1.690
1.221 4.766 5.042
3.709 4.743 2.481
0.718 6.667 2.161
5.603 1.940 4.421
2.522 2.332 4.050
1.819 4.989 0.021
```

Record 4
Here is a geometry-optimized KMgSc2 structure from Alexandria via LeMat-Bulk. Energies are from PBE.

Properties
Symmetry: P2/m, No. 10

```
KMgSc2
1.0
-3.386 0.651 -4.190
-1.174 -2.963 0.488
-5.471 1.212 4.609
Mg Sc K
1 2 1
Cartesian
-6.677 -0.988 1.728
-6.233 -1.693 4.773
-3.735 -0.933 2.873
-3.354 -0.112 -0.821
```

Record 5
Here is a geometry-optimized Sm2ScIn9 structure from Alexandria via LeMat-Bulk. Energies are from PBE.

Properties
Symmetry: P4/mmm, No. 123

```
Sm2ScIn9
1.0
-2.283 -2.748 2.960
-1.171 -2.804 -3.507
11.552 -7.390 2.050
In Sc Sm
9 1 2
Cartesian
4.634 -5.069 2.505
9.130 -7.617 -0.029
-1.727 -2.776 -0.273
2.103 -5.226 0.406
8.574 -7.590 3.204
5.191 -5.097 -0.728
0.695 -2.549 1.806
5.995 -7.716 1.097
1.251 -2.577 -1.427
0.000 0.000 0.000
7.744 -4.954 1.374
3.809 -2.436 0.676
```

Record 6
Here is a geometry-optimized Li2MgTa structure from Alexandria via LeMat-Bulk. Energies are from PBE.

Properties
Symmetry: Pm, No. 6

```
Li2MgTa
1.0
-2.326 2.886 2.607
-1.534 -2.041 0.891
3.039 -1.965 4.885
Ta Li Mg
1 2 1
Cartesian
-0.113 -1.693 5.711
-0.520 0.820 2.567
-0.272 -0.371 0.168
0.836 -1.879 2.825
```

Number 1: ΔH_f (0 K) -0.1781 eV per atom. Number 2: ΔH_f (0 K) 0.2336 eV per atom. Number 3: ΔH_f (0 K) -0.3050 eV per atom. Number 4: ΔH_f (0 K) 0.4239 eV per atom. Number 5: ΔH_f (0 K) -0.4054 eV per atom. Number 6: ΔH_f (0 K) 0.3617 eV per atom.